No. 1
DFT (PBE) results for crystalline In2TeOs at its relaxed geometry.

Calculated values
Crystal system: orthorhombic
ΔE_f (raw) in eV per atom: 0.3052

abc: 3.149 3.322 8.813
angles: 90.00 90.00 90.00
Space group Pmmm (No. 47)
Asymmetric unit:
In  0.000  0.000  0.184 x2
Te  0.000  0.500  0.500 x1
Os  0.500  0.500  0.000 x1


No. 2
DFT (PBE) results for crystalline InTe2Os at its relaxed geometry.

Calculated values
Crystal system: tetragonal
ΔE_f (raw) in eV per atom: 0.4085

abc: 3.245 3.245 9.277
angles: 90.00 90.00 90.00
Space group P4/mmm (No. 123)
Asymmetric unit:
In  0.000  0.000  0.000 x1
Te  0.500  0.500  0.317 x2
Os  0.000  0.000  0.500 x1


No. 3
DFT (PBE) results for crystalline InTe2Os at its relaxed geometry.

Calculated values
Crystal system: trigonal
ΔE_f (raw) in eV per atom: 0.2245

abc: 3.8878 3.8878 28.1566
angles: 90.00 90.00 120.00
Space group R-3m (No. 166, hexagonal axes)
Asymmetric unit:
In  0.0000  0.0000  0.0000 x3
Te  0.0000  0.0000  0.1159 x6
Os  0.0000  0.0000  0.5000 x3


Which of these has the highest ΔE_f (raw)? number 2